Here is a geometry-optimized Y7HoEr4 structure from the Alexandria database. Energies are from PBE.

Calculated values
The calculation puts the total energy at -5.367 eV per atom. The calculated formation energy comes out at 0.306 eV/atom.

abc: 12.0290 5.8487 12.6739
angles: 90.00 117.99 90.00
Last column: nearest neighbours and their distance in Å.
Space group C2/m (No. 12)
Inequivalent atoms, fractional coordinates:
Y (0.0000, 0.0000, 0.0000) [2 per cell]  2 Ho 2.92, 2 Y 3.14
Y (0.0616, 0.5000, 0.3189) [4 per cell]  4 Y 3.28-3.57, 3 Er 3.62-3.66
Y (0.1341, 0.0000, 0.5004) [4 per cell]  4 Y 3.22-3.57, 5 Er 3.27-3.56
Y (0.2114, 0.5000, 0.9237) [4 per cell]  1 Ho 3.12, 4 Y 3.14-3.39, 4 Er 3.27-3.37
Ho (0.0000, 0.5000, 0.0000) [2 per cell]  4 Y 2.92-3.12
Er (0.1398, 0.0000, 0.7748) [4 per cell]  7 Y 3.37-3.62, 2 Er 3.59
Er (0.2426, 0.5000, 0.6806) [4 per cell]  4 Y 3.27-3.56, 2 Er 3.59